VASP calculation (meta-GGA SCAN) on a PBEsol-optimized structure of TlCrSe.

Properties
ΔE_f (raw) in kcal/mol of atoms: -3.4
Total magnetization in μB per atom: 1.24
Crystal system: trigonal
N(E_F) in states/eV per atom: 0.39

Cell lengths 3.4466, 3.4466, 6.1486 Å; angles 90.00, 90.00, 120.00 degrees
Closest atoms and distances in Å follow each position.
Sites, in units of the cell vectors:
Se 0.6667 0.3333 0.7401  3 Cr 2.40
Tl 0.3333 0.6667 0.3028  3 Cr 2.91
Cr 0.0000 0.0000 0.9571  3 Se 2.40

=====

VASP calculation (meta-GGA SCAN) on a PBEsol-optimized structure of TlCrSe2.

Properties
ΔE_f (raw) in kcal/mol of atoms: -8.2
Total magnetization in μB per atom: 0.76
Crystal system: orthorhombic
N(E_F) in states/eV per atom: 0.33

Cell lengths 3.5901, 5.5959, 5.5959 Å; angles 67.09, 71.29, 71.29 degrees
Closest atoms and distances in Å follow each position.
Sites, in units of the cell vectors:
Se 0.3106 0.6894 0.6894  2 Cr 2.42
Tl 0.5000 0.0000 0.0000  8 Se 3.22-3.50, 4 Cr 3.58, 2 Tl 3.59
Se 0.6894 0.3106 0.3106  2 Cr 2.42
Cr 0.0000 0.5000 0.5000  4 Se 2.42

=====

VASP calculation (meta-GGA SCAN) on a PBEsol-optimized structure of TlCrSe2.

Properties
ΔE_f (raw) in kcal/mol of atoms: -16.6
Total magnetization in μB per atom: 0.75
Crystal system: trigonal
N(E_F) in states/eV per atom: 0.09

Cell lengths 3.7382, 3.7382, 7.6596 Å; angles 75.88, 75.88, 60.00 degrees
Closest atoms and distances in Å follow each position.
Sites, in units of the cell vectors:
Se 0.2268 0.2268 0.3197  3 Cr 2.53
Se 0.7732 0.7732 0.6803  3 Cr 2.53
Tl 0.0000 0.0000 0.0000  6 Se 3.19
Cr 0.5000 0.5000 0.5000  6 Se 2.53

=====

VASP calculation (meta-GGA SCAN) on a PBEsol-optimized structure of TlCrSe2.

Properties
ΔE_f (raw) in kcal/mol of atoms: -7.8
Total magnetization in μB per atom: 0.09
Crystal system: trigonal
N(E_F) in states/eV per atom: 0.51

Cell lengths 3.2426, 3.2426, 9.4098 Å; angles 80.08, 80.08, 60.00 degrees
Closest atoms and distances in Å follow each position.
Sites, in units of the cell vectors:
Cr 0.9963 0.9963 0.0110  6 Se 2.41-2.42
Tl 0.1619 0.1619 0.5144  1 Se 3.13, 6 Tl 3.24
Se 0.3849 0.3849 0.8454  3 Cr 2.42
Se 0.2750 0.2750 0.1751  3 Cr 2.41

=====

Q: Look up the total magnetization of the fourth one.
A: 0.09 μB per atom

=====

Repeat the fourth record exactly.
VASP calculation (meta-GGA SCAN) on a PBEsol-optimized structure of TlCrSe2.

Properties
ΔE_f (raw) in kcal/mol of atoms: -7.8
Total magnetization in μB per atom: 0.09
Crystal system: trigonal
N(E_F) in states/eV per atom: 0.51

Cell lengths 3.2426, 3.2426, 9.4098 Å; angles 80.08, 80.08, 60.00 degrees
Closest atoms and distances in Å follow each position.
Sites, in units of the cell vectors:
Cr 0.9963 0.9963 0.0110  6 Se 2.41-2.42
Tl 0.1619 0.1619 0.5144  1 Se 3.13, 6 Tl 3.24
Se 0.3849 0.3849 0.8454  3 Cr 2.42
Se 0.2750 0.2750 0.1751  3 Cr 2.41